# PBE with a Hubbard U MgCo2RuO6, relaxed
# DFT total energy in eV per cell: -190.01
# N(E_F) in states/eV/cell: 3.536
data_MgCo2RuO6
_cell_length_a 5.0680
_cell_length_b 5.0680
_cell_length_c 13.8022
_cell_angle_alpha 90.00
_cell_angle_beta 90.00
_cell_angle_gamma 120.00
_space_group_name_H-M_alt 'R 3'
_space_group_IT_number 146
_space_group_name_Hall 'R 3'
loop_
_atom_site_label
_atom_site_fract_x
_atom_site_fract_y
_atom_site_fract_z
Mg1 0.0000 0.0000 0.0000
Co1 0.0000 0.0000 0.2098
Co2 0.0000 0.0000 0.6954
Ru1 0.0000 0.0000 0.4999
O1 0.0029 0.7126 0.6023
O2 0.0076 0.3374 0.7664